Computed, not measured: an optimized crystal structure of LiCoPb2 at the PBE-GGA level of DFT.

Calculated values
DFT formation energy in meV per atom: 227
DOS at the Fermi energy in states/eV per cell: 4.866
V in Å³ per cell: 80

Unit cell a=4.8049 b=4.8049 c=3.4556 alpha=90.00 beta=90.00 gamma=89.97
Last column: nearest neighbours and their distance in Å.
Fractional positions:
Co 0.5000 0.0000 0.5000  8 Pb 2.96
Li 0.0000 0.5000 0.5000  8 Pb 2.96
Pb 0.0000 0.0000 0.0000  4 Co 2.96, 4 Li 2.96
Pb 0.5000 0.5000 0.0000  4 Li 2.96, 4 Co 2.96